Entry 1:
Below is crystalline Sr4LiLa at its relaxed geometry, with properties calculated at the GGA-PBE level.

E_form: 394 meV per atom
Symmetry: F-43m (216)
ρ: 2.7 g cm⁻³

abc: 7.5554 7.5554 7.5554
angles: 60.00 60.00 60.00
Closest atoms and distances in Å follow each position.
Atoms (fractional coordinates):
Sr  0.8725  0.3758  0.3758  6 Sr 3.75-3.80
Sr  0.3758  0.3758  0.8725  6 Sr 3.75-3.80
Sr  0.3758  0.8725  0.3758  6 Sr 3.75-3.80
Sr  0.3758  0.3758  0.3758  6 Sr 3.75-3.80
Li  0.0000  0.0000  0.0000  12 Sr 4.43, 4 La 4.63
La  0.7500  0.7500  0.7500  12 Sr 4.43, 4 Li 4.63

=====

Entry 2:
Below is crystalline Sr2LiLa at its relaxed geometry, with properties calculated at the GGA-PBE level.

E_form: 149 meV per atom
Energy relative to the lowest polymorph listed for this composition: 38 meV/atom
Symmetry: R-3m (166)
ρ: 3.2 g cm⁻³

abc: 12.6626 12.6626 12.6626
angles: 17.96 17.96 17.96
Closest atoms and distances in Å follow each position.
Atoms (fractional coordinates):
La  0.2500  0.2500  0.2500  6 La 3.95, 6 Sr 4.00
Li  0.7500  0.7500  0.7500  6 Sr 3.73, 6 Li 3.95
Sr  0.0045  0.0045  0.0045  3 Li 3.73, 6 Sr 3.95, 3 La 4.00
Sr  0.4955  0.4955  0.4955  3 Li 3.73, 6 Sr 3.95, 3 La 4.00

=====

Entry 3:
Below is crystalline Sr2LiLa at its relaxed geometry, with properties calculated at the GGA-PBE level.

E_form: 242 meV per atom
Energy relative to the lowest polymorph listed for this composition: 131 meV/atom
Symmetry: F-43m (216)
ρ: 3.2 g cm⁻³

abc: 6.1700 6.1700 6.1700
angles: 60.00 60.00 60.00
Closest atoms and distances in Å follow each position.
Atoms (fractional coordinates):
La  0.5000  0.5000  0.5000  4 Li 3.78, 4 Sr 3.78
Li  0.7500  0.7500  0.7500  4 La 3.78, 4 Sr 3.78
Sr  0.0000  0.0000  0.0000  4 Li 3.78, 4 Sr 3.78
Sr  0.2500  0.2500  0.2500  4 La 3.78, 4 Sr 3.78